## Tm2Hg (GGA-PBE)

Data for an optimized crystal structure of Tm2Hg.

abc: 6.1675 6.1675 6.1675
angles: 60.00 60.00 60.00
Last column: nearest neighbours and their distance in Å.
Atoms (fractional coordinates):
1 Tm 0.6250 0.6250 0.1250  6 Tm 3.08
2 Tm 0.6250 0.1250 0.6250  6 Tm 3.08
3 Tm 0.6250 0.6250 0.6250  6 Tm 3.08
4 Tm 0.1250 0.6250 0.6250  6 Tm 3.08
5 Hg 0.2500 0.2500 0.2500  12 Tm 3.62, 4 Hg 3.78
6 Hg 0.0000 0.0000 0.0000  12 Tm 3.62, 4 Hg 3.78

Values from the calculation:
Energy of formation from the pure elements, eV/atom: 0.2801